(w)
VASP calculation (PBE-GGA) on crystalline LiDyRu at its relaxed geometry.

a b c (Å): 4.8409 10.1184 4.5470
angles (deg): 90.00 90.00 90.00
Space group Cmcm (No. 63)
Inequivalent atoms, fractional coordinates:
Li (0.0000, 0.0497, 0.2500) [4 per cell]
Dy (0.0000, 0.2542, 0.7500) [4 per cell]
Ru (0.0000, 0.4356, 0.2500) [4 per cell]

Properties
- Size of the total moment: 0.0 μB per formula unit

(x)
VASP calculation (PBE-GGA) on crystalline LiDyRu at its relaxed geometry.

a b c (Å): 3.4704 3.4704 8.9273
angles (deg): 90.00 90.00 90.00
Space group I4mm (No. 107)
Inequivalent atoms, fractional coordinates:
Li (0.0000, 0.0000, 0.0000) [2 per cell]
Dy (0.0000, 0.0000, 0.3034) [2 per cell]
Ru (0.0000, 0.0000, 0.6339) [2 per cell]

Properties
- Size of the total moment: 0.0 μB per formula unit

Bottom line: (w), by a margin of 0.6 kJ/mol of atoms.

(w)
VASP calculation (PBE-GGA) on crystalline LiDy2Ru at its relaxed geometry.

a b c (Å): 3.8748 3.8748 25.7237
angles (deg): 90.00 90.00 120.00
Space group R-3m (No. 166, hexagonal axes)
Inequivalent atoms, fractional coordinates:
Li (0.0000, 0.0000, 0.0000) [3 per cell]
Dy (0.0000, 0.0000, 0.2267) [6 per cell]
Ru (0.0000, 0.0000, 0.5000) [3 per cell]

Properties
- Size of the total moment: 0.0 μB per formula unit

(x)
VASP calculation (PBE-GGA) on crystalline LiDy2Ru at its relaxed geometry.

a b c (Å): 6.9389 6.9389 6.9389
angles (deg): 90.00 90.00 90.00
Space group Fm-3m (No. 225)
Inequivalent atoms, fractional coordinates:
Li (0.0000, 0.0000, 0.0000) [4 per cell]
Dy (0.2500, 0.2500, 0.2500) [8 per cell]
Ru (0.0000, 0.0000, 0.5000) [4 per cell]

Properties
- Size of the total moment: 0.0 μB per formula unit

(y)
VASP calculation (PBE-GGA) on crystalline LiDy2Ru at its relaxed geometry.

a b c (Å): 3.4123 3.4123 8.1012
angles (deg): 90.00 90.00 90.00
Space group P4/mmm (No. 123)
Inequivalent atoms, fractional coordinates:
Li (0.0000, 0.0000, 0.0000) [1 per cell]
Dy (0.5000, 0.5000, 0.2961) [2 per cell]
Ru (0.0000, 0.0000, 0.5000) [1 per cell]

Properties
- Size of the total moment: 0.0 μB per formula unit

Bottom line: (x), by a margin of 4.0 kJ/mol of atoms.

(w)
VASP calculation (PBE-GGA) on crystalline LiDy2S3 at its relaxed geometry.

a b c (Å): 3.8796 3.8796 16.4708
angles (deg): 90.00 90.00 90.00
Space group I4/mmm (No. 139)
Inequivalent atoms, fractional coordinates:
Li (0.0000, 0.0000, 0.0000) [2 per cell]
Dy (0.0000, 0.0000, 0.3403) [4 per cell]
S (0.0000, 0.0000, 0.1670) [4 per cell]
S (0.0000, 0.0000, 0.5000) [2 per cell]

Properties
- Size of the total moment: 0.0 μB per formula unit

(x)
VASP calculation (PBE-GGA) on crystalline LiDy2S3 at its relaxed geometry.

a b c (Å): 3.8643 5.4846 11.6151
angles (deg): 90.00 90.00 90.00
Space group Immm (No. 71)
Inequivalent atoms, fractional coordinates:
Li (0.0000, 0.0000, 0.0000) [2 per cell]
Dy (0.0000, 0.0000, 0.3350) [4 per cell]
S (0.0000, 0.5000, 0.0000) [2 per cell]
S (0.0000, 0.5000, 0.3373) [4 per cell]

Properties
- Size of the total moment: 0.0 μB per formula unit

Bottom line: (x), by a margin of 2.6 kJ/mol of atoms.

(w)
VASP calculation (PBE-GGA) on crystalline Li3DySb2 at its relaxed geometry.

a b c (Å): 4.5471 4.5471 7.1594
angles (deg): 90.00 90.00 120.00
Space group P-3m1 (No. 164)
Inequivalent atoms, fractional coordinates:
Li (0.0000, 0.0000, 0.0000) [1 per cell]
Li (0.3333, 0.6667, 0.1498) [2 per cell]
Dy (0.0000, 0.0000, 0.5000) [1 per cell]
Sb (0.3333, 0.6667, 0.7481) [2 per cell]

Properties
- Size of the total moment: 0.0 μB per formula unit

(x)
VASP calculation (PBE-GGA) on crystalline Li3DySb2 at its relaxed geometry.

a b c (Å): 17.3816 4.2986 10.7297
angles (deg): 90.00 101.18 90.00
Space group C2/m (No. 12)
Inequivalent atoms, fractional coordinates:
Li (0.0000, 0.0000, 0.0000) [2 per cell]
Li (0.0476, 0.5000, 0.8398) [4 per cell]
Li (0.1201, 0.0000, 0.7311) [4 per cell]
Li (0.1830, 0.0000, 0.4886) [4 per cell]
Li (0.2079, 0.5000, 0.9065) [4 per cell]
Dy (0.0000, 0.5000, 0.5000) [2 per cell]
Dy (0.1687, 0.5000, 0.2217) [4 per cell]
Sb (0.0465, 0.0000, 0.3096) [4 per cell]
Sb (0.1432, 0.0000, 0.9991) [4 per cell]
Sb (0.1931, 0.5000, 0.6480) [4 per cell]

Properties
- Size of the total moment: 0.0 μB per formula unit

Bottom line: (w), by a margin of 10.1 kJ/mol of atoms.

(w)
VASP calculation (PBE-GGA) on crystalline LiDySb2 at its relaxed geometry.

a b c (Å): 3.9284 3.9284 6.5323
angles (deg): 90.00 90.00 90.00
Space group P4/mmm (No. 123)
Inequivalent atoms, fractional coordinates:
Li (0.0000, 0.0000, 0.0000) [1 per cell]
Dy (0.0000, 0.0000, 0.5000) [1 per cell]
Sb (0.5000, 0.5000, 0.2437) [2 per cell]

Properties
- Size of the total moment: 0.0 μB per formula unit

(x)
VASP calculation (PBE-GGA) on crystalline LiDySb2 at its relaxed geometry.

a b c (Å): 4.8538 4.8538 4.1795
angles (deg): 90.00 90.00 90.00
Space group P4/mmm (No. 123)
Inequivalent atoms, fractional coordinates:
Li (0.0000, 0.0000, 0.0000) [1 per cell]
Dy (0.5000, 0.5000, 0.0000) [1 per cell]
Sb (0.0000, 0.5000, 0.5000) [2 per cell]

Properties
- Size of the total moment: 0.0 μB per formula unit

(y)
VASP calculation (PBE-GGA) on crystalline LiDySb2 at its relaxed geometry.

a b c (Å): 4.2731 4.2731 10.7036
angles (deg): 90.00 90.00 90.00
Space group P4/nmm (No. 129, origin choice 2)
Inequivalent atoms, fractional coordinates:
Li (0.2500, 0.7500, 0.0000) [2 per cell]
Dy (0.2500, 0.2500, 0.2683) [2 per cell]
Sb (0.2500, 0.2500, 0.8304) [2 per cell]
Sb (0.2500, 0.7500, 0.5000) [2 per cell]

Properties
- Size of the total moment: 0.0 μB per formula unit

Bottom line: (y), by a margin of 13.7 kJ/mol of atoms.

(w)
VASP calculation (PBE-GGA) on crystalline LiDySc2 at its relaxed geometry.

a b c (Å): 5.2972 5.2972 3.5898
angles (deg): 90.00 90.00 90.00
Space group P4/mmm (No. 123)
Inequivalent atoms, fractional coordinates:
Li (0.0000, 0.0000, 0.0000) [1 per cell]
Dy (0.5000, 0.5000, 0.0000) [1 per cell]
Sc (0.0000, 0.5000, 0.5000) [2 per cell]

Properties
- Size of the total moment: 0.0 μB per formula unit

(x)
VASP calculation (PBE-GGA) on crystalline LiDySc2 at its relaxed geometry.

a b c (Å): 3.3337 3.3337 31.7096
angles (deg): 90.00 90.00 120.00
Space group R3m (No. 160, hexagonal axes)
Inequivalent atoms, fractional coordinates:
Li (0.0000, 0.0000, 0.0000) [3 per cell]
Dy (0.0000, 0.0000, 0.1660) [3 per cell]
Sc (0.0000, 0.0000, 0.5859) [3 per cell]
Sc (0.0000, 0.0000, 0.7467) [3 per cell]

Properties
- Size of the total moment: 0.0 μB per formula unit

(y)
VASP calculation (PBE-GGA) on crystalline LiDySc2 at its relaxed geometry.

a b c (Å): 3.3207 3.3207 31.9380
angles (deg): 90.00 90.00 120.00
Space group R-3m (No. 166, hexagonal axes)
Inequivalent atoms, fractional coordinates:
Li (0.0000, 0.0000, 0.0000) [3 per cell]
Dy (0.0000, 0.0000, 0.5000) [3 per cell]
Sc (0.0000, 0.0000, 0.2529) [6 per cell]

Properties
- Size of the total moment: 0.2 μB per formula unit

(z)
VASP calculation (PBE-GGA) on crystalline LiDySc2 at its relaxed geometry.

a b c (Å): 3.4376 3.4376 8.2939
angles (deg): 90.00 90.00 90.00
Space group P4/mmm (No. 123)
Inequivalent atoms, fractional coordinates:
Li (0.0000, 0.0000, 0.0000) [1 per cell]
Dy (0.0000, 0.0000, 0.5000) [1 per cell]
Sc (0.5000, 0.5000, 0.2157) [2 per cell]

Properties
- Size of the total moment: 0.0 μB per formula unit

Bottom line: (z), by a margin of 2.4 kJ/mol of atoms.